Density functional theory data (PBE) for an optimized crystal structure of SmY3Sc3.

```
SmY3Sc3
1.0
-0.5914 -5.4350 0.4073
8.8788 -0.7718 2.5945
-6.6173 1.1996 6.3979
Sc Y Sm
6 6 2
Direct
0.7500 0.4837 0.0973 Sc
0.2500 0.0973 0.6136 Sc
0.7500 0.9027 0.3864 Sc
0.2500 0.3864 0.4837 Sc
0.7500 0.6136 0.5163 Sc
0.2500 0.5163 0.9027 Sc
0.2500 0.8044 0.7552 Y
0.2500 0.9507 0.1956 Y
0.2500 0.2448 0.0493 Y
0.7500 0.1956 0.2448 Y
0.7500 0.7552 0.9507 Y
0.7500 0.0493 0.8044 Y
0.7500 0.3333 0.6667 Sm
0.2500 0.6667 0.3333 Sm
```

## Properties
raw total energy = -6.124 eV/atom
E_form = 0.034 eV/atom
SG = P6_3/m (176)